P.
A plane-wave DFT calculation with PBE was carried out for a relaxed Dy3Ho4Sc2 crystal.

abc: 9.525 9.525 6.844
angles: 90.00 90.00 120.61
Positions (direct):
Dy (0.000, 0.000, 0.250)
Dy (0.000, 0.000, 0.750)
Dy (0.328, 0.672, 0.250)
Dy (0.328, 0.672, 0.750)
Dy (0.672, 0.328, 0.250)
Dy (0.672, 0.328, 0.750)
Ho (0.012, 0.334, 0.500)
Ho (0.319, 0.346, 0.000)
Ho (0.334, 0.012, 0.000)
Ho (0.346, 0.319, 0.500)
Ho (0.654, 0.681, 0.500)
Ho (0.666, 0.988, 0.000)
Ho (0.681, 0.654, 0.000)
Ho (0.988, 0.666, 0.500)
Sc (0.014, 0.667, 0.000)
Sc (0.333, 0.986, 0.500)
Sc (0.667, 0.014, 0.500)
Sc (0.986, 0.333, 0.000)

## Properties
- Space group: Cccm
- Magnetic moment: 0.0 μB/f.u.

---

Q.
A plane-wave DFT calculation with PBE was carried out for a relaxed Dy3Ho4Sc2 crystal.

abc: 9.839 9.839 5.909
angles: 95.68 95.68 70.04
Positions (direct):
Dy (0.143, 0.857, 0.750)
Dy (0.177, 0.483, 0.920)
Dy (0.483, 0.177, 0.420)
Dy (0.517, 0.823, 0.580)
Dy (0.823, 0.517, 0.080)
Dy (0.857, 0.143, 0.250)
Ho (0.114, 0.328, 0.393)
Ho (0.321, 0.550, 0.454)
Ho (0.328, 0.114, 0.893)
Ho (0.450, 0.679, 0.046)
Ho (0.550, 0.321, 0.954)
Ho (0.672, 0.886, 0.107)
Ho (0.679, 0.450, 0.546)
Ho (0.886, 0.672, 0.607)
Sc (0.016, 0.785, 0.202)
Sc (0.215, 0.984, 0.298)
Sc (0.785, 0.016, 0.702)
Sc (0.984, 0.215, 0.798)

## Properties
- Space group: C2/c
- Magnetic moment: 0.0 μB/f.u.

---

Energies relative to the minimum, meV/atom: P 0; Q 37